Here is crystalline LiCd3F6 at its relaxed geometry from Alexandria. Energies are from GGA-PBE.

As for the calculated total energy: -3.7249 eV/atom.

Cell and atoms, written as POSCAR:
```
LiCd3F6
1.0
-2.487 2.904 4.120
0.876 -4.444 3.661
7.903 3.048 1.808
F Cd Li
12 6 2
Cartesian
0.685 -2.510 4.237
3.061 2.785 4.655
3.232 -1.278 4.934
5.665 2.424 2.257
0.628 -0.916 7.333
0.781 0.772 4.713
0.411 -0.487 1.936
3.299 0.944 6.807
5.512 0.735 4.876
2.994 0.563 2.783
5.882 1.995 7.654
5.608 4.018 5.352
5.357 -0.348 6.974
-0.805 -0.770 3.891
3.971 3.173 6.947
0.936 1.856 2.616
3.952 1.524 0.904
2.322 -1.665 2.643
0.000 0.000 0.000
3.146 0.754 4.795
```